1.
A relaxed structure of Cs2As2Cl7, computed with GGA-PBE.

Unit cell a=8.872 b=6.515 c=6.515 alpha=102.49 beta=91.75 gamma=91.75
Atoms (fractional coordinates):
Cs  0.000  0.233  0.767
Cs  0.000  0.767  0.233
As  0.497  0.313  0.313
As  0.503  0.687  0.687
Cl  0.667  0.855  0.519
Cl  0.333  0.481  0.145
Cl  0.333  0.145  0.481
Cl  0.667  0.519  0.855
Cl  0.500  0.000  0.000
Cl  0.149  0.728  0.728
Cl  0.851  0.272  0.272

Output
- energy relative to the elements, uncorrected (eV/atom) = -1.04
- SG = No. 12
- N(E_F) (states/eV per atom) = 0.2703



2.
A relaxed structure of Cs2AsCl, computed with GGA-PBE.

Unit cell a=6.197 b=6.197 c=6.197 alpha=60.00 beta=60.00 gamma=60.00
Site moments in Bohr magnetons follow the coordinates.
Atoms (fractional coordinates):
Cs  0.250  0.250  0.250  0.03
Cs  0.750  0.750  0.750  0.03
As  0.500  0.500  0.500  0.75
Cl  0.000  0.000  0.000  0.04

Output
- energy relative to the elements, uncorrected (eV/atom) = -0.69
- SG = No. 225
- N(E_F) (states/eV per atom) = 1.3792
- polymorph energy (0 for the lowest one) (meV per atom) = 5



3.
A relaxed structure of CsCuAs2Cl8, computed with GGA-PBE.

Unit cell a=7.223 b=8.145 c=9.402 alpha=54.86 beta=67.41 gamma=63.68
Atoms (fractional coordinates):
Cs  0.500  0.500  0.500
Cu  0.000  0.000  0.000
As  0.295  0.199  0.211
As  0.705  0.801  0.789
Cl  0.879  0.552  0.690
Cl  0.683  0.561  0.072
Cl  0.121  0.448  0.310
Cl  0.317  0.439  0.928
Cl  0.674  0.998  0.202
Cl  0.326  0.002  0.798
Cl  0.126  0.998  0.202
Cl  0.874  0.002  0.798

Output
- energy relative to the elements, uncorrected (eV/atom) = -0.77
- SG = No. 12



4.
A relaxed structure of Cs2CuAsCl6, computed with GGA-PBE.

Unit cell a=7.254 b=7.254 c=7.254 alpha=60.00 beta=60.00 gamma=60.00
Atoms (fractional coordinates):
Cs  0.750  0.750  0.750
Cs  0.250  0.250  0.250
Cu  0.500  0.500  0.500
As  0.000  0.000  0.000
Cl  0.750  0.250  0.250
Cl  0.250  0.250  0.750
Cl  0.250  0.750  0.750
Cl  0.250  0.750  0.250
Cl  0.750  0.250  0.750
Cl  0.750  0.750  0.250

Output
- energy relative to the elements, uncorrected (eV/atom) = -1.16
- SG = No. 225